The following is a DFT calculation (GGA-PBEsol) of an optimized crystal structure of CaNiCl2.

Computed properties:
electronic total energy: -16.2 eV for the cell shown
distance to the lowest polymorph of the same formula: 0.0 meV/atom

Cell: 3.7477 3.7477 5.4875 Å, 90.00 90.00 90.00°
Closest atoms and distances in Å follow each position.
Positions (direct):
Ca  0.0000  0.0000  0.0000  6 Cl 2.61-2.88
Ni  0.5000  0.5000  0.7318  1 Cl 2.08
Cl  0.0000  0.0000  0.5247  2 Ca 2.61-2.88, 4 Ni 2.88
Cl  0.5000  0.5000  0.1107  1 Ni 2.08

---

The following is a DFT calculation (GGA-PBEsol) of an optimized crystal structure of Li2MnV4FeO12.

Computed properties:
electronic total energy: -166.1 eV for the cell shown

Cell: 6.7139 6.7139 5.7319 Å, 107.08 107.08 79.18°
Closest atoms and distances in Å follow each position.
Positions (direct):
Li  0.0000  0.0000  0.0000  4 O 2.03-2.16
Li  0.5451  0.4549  0.5000  4 O 2.07-2.16
Mn  0.1885  0.8115  0.5000  6 O 1.97-2.19
V  0.0757  0.3467  0.4798  4 O 1.69-1.79
V  0.4670  0.1119  0.0200  4 O 1.69-1.81
V  0.6533  0.9243  0.5202  4 O 1.69-1.79
V  0.8881  0.5330  0.9800  4 O 1.69-1.81
Fe  0.3564  0.6436  0.0000  4 O 1.92-2.09
O  0.0664  0.7198  0.0895  1 V 1.75
O  0.1873  0.0996  0.4790  1 V 1.69
O  0.2616  0.5239  0.5954  1 V 1.74
O  0.2802  0.9336  0.9105  1 V 1.75
O  0.3686  0.3646  0.0333  1 V 1.69
O  0.4761  0.7384  0.4046  1 V 1.74
O  0.5853  0.1195  0.3467  2 V 1.79-1.80
O  0.6354  0.6314  0.9667  1 V 1.69
O  0.6657  0.0412  0.8445  2 V 1.78-1.81
O  0.8805  0.4147  0.6533  2 V 1.79-1.80
O  0.9004  0.8127  0.5210  1 V 1.69
O  0.9588  0.3343  0.1555  2 V 1.78-1.81

---

The following is a DFT calculation (GGA-PBEsol) of an optimized crystal structure of ReTcS2.

Computed properties:
electronic total energy: -132.7 eV for the cell shown

Cell: 5.8780 5.8780 5.8780 Å, 90.00 90.00 90.00°
Closest atoms and distances in Å follow each position.
Positions (direct):
Re  0.0000  0.0000  0.0000  8 S 2.55
Re  0.0000  0.5000  0.5000  8 S 2.55
Re  0.5000  0.0000  0.5000  8 S 2.55
Re  0.5000  0.5000  0.0000  8 S 2.55
Tc  0.0000  0.0000  0.5000  8 S 2.55
Tc  0.0000  0.5000  0.0000  8 S 2.55
Tc  0.5000  0.0000  0.0000  8 S 2.55
Tc  0.5000  0.5000  0.5000  8 S 2.55
S  0.2500  0.2500  0.2500  4 Re 2.55, 4 Tc 2.55
S  0.2500  0.2500  0.7500  4 Re 2.55, 4 Tc 2.55
S  0.2500  0.7500  0.2500  4 Re 2.55, 4 Tc 2.55
S  0.2500  0.7500  0.7500  4 Re 2.55, 4 Tc 2.55
S  0.7500  0.2500  0.2500  4 Re 2.55, 4 Tc 2.55
S  0.7500  0.2500  0.7500  4 Re 2.55, 4 Tc 2.55
S  0.7500  0.7500  0.2500  4 Re 2.55, 4 Tc 2.55
S  0.7500  0.7500  0.7500  4 Tc 2.55, 4 Re 2.55

---

The following is a DFT calculation (GGA-PBEsol) of an optimized crystal structure of Nd2Ti3Bi2O12.

Computed properties:
electronic total energy: -318.8 eV for the cell shown

Cell: 5.4176 16.5992 16.5992 Å, 161.39 90.00 90.00°
Closest atoms and distances in Å follow each position.
Positions (direct):
Nd  0.0026  0.0652  0.9348  5 O 2.33-2.56
Nd  0.4974  0.5652  0.4348  5 O 2.33-2.56
Nd  0.5026  0.4348  0.5652  5 O 2.33-2.56
Nd  0.9974  0.9348  0.0652  5 O 2.33-2.56
Ti  0.0000  0.4958  0.4958  6 O 1.92-1.97
Ti  0.0012  0.3672  0.6213  4 O 1.78-1.99
Ti  0.4988  0.8672  0.1213  4 O 1.78-1.99
Ti  0.5000  0.9958  0.9958  6 O 1.92-1.97
Ti  0.5012  0.1213  0.8672  4 O 1.78-1.99
Ti  0.9988  0.6213  0.3672  4 O 1.78-1.99
Bi  0.0221  0.2598  0.8382  4 O 2.22-2.42
Bi  0.4779  0.7598  0.3382  4 O 2.22-2.42
Bi  0.5221  0.3382  0.7598  4 O 2.22-2.42
Bi  0.9779  0.8382  0.2598  4 O 2.22-2.42
O  0.0613  0.6667  0.3061  1 Ti 1.78
O  0.0757  0.4279  0.5422  1 Ti 1.92
O  0.2371  0.1067  0.3491  2 Ti 1.90-1.93
O  0.2424  0.8546  0.6380  2 Ti 1.99-2.03
O  0.2443  0.0339  0.5320  4 Bi 2.22-2.42
O  0.2489  0.2497  0.2257  2 Ti 1.92-1.97
O  0.2511  0.7497  0.7257  2 Ti 1.92-1.97
O  0.2557  0.5339  0.0320  4 Bi 2.22-2.42
O  0.2576  0.3546  0.1380  2 Ti 1.99-2.03
O  0.2629  0.6067  0.8491  2 Ti 1.90-1.93
O  0.4243  0.9279  0.0422  1 Ti 1.92
O  0.4387  0.1667  0.8061  1 Ti 1.78
O  0.5613  0.8061  0.1667  1 Ti 1.78
O  0.5757  0.0422  0.9279  1 Ti 1.92
O  0.7371  0.8491  0.6067  2 Ti 1.90-1.93
O  0.7424  0.1380  0.3546  2 Ti 1.99-2.03
O  0.7443  0.0320  0.5339  4 Bi 2.22-2.42
O  0.7489  0.7257  0.7497  2 Ti 1.92-1.97
O  0.7511  0.2257  0.2497  2 Ti 1.92-1.97
O  0.7557  0.5320  0.0339  4 Bi 2.22-2.42
O  0.7576  0.6380  0.8546  2 Ti 1.99-2.03
O  0.7629  0.3491  0.1067  2 Ti 1.90-1.93
O  0.9243  0.5422  0.4279  1 Ti 1.92
O  0.9387  0.3061  0.6667  1 Ti 1.78